No. 1
ZrTeCl4: single point on PBEsol structure, meta-GGA SCAN.

Density of states at the Fermi level   2.5 states/eV per cell
Space group   No. 216
Density   4.91 Mg/m³

Cell: 5.5664 5.5664 5.5664 Å, 60.00 60.00 60.00°
Each line ends with the local moment (μB).
Atoms (fractional coordinates):
Te: 0.7500 0.7500 0.7500  0.07
Zr: 0.0000 0.0000 0.0000  0.06
Cl: 0.8788 0.3737 0.3737  0.35
Cl: 0.3737 0.3737 0.3737  0.35
Cl: 0.3737 0.3737 0.8788  0.35
Cl: 0.3737 0.8788 0.3737  0.35

No. 2
ZrTeCl3: single point on PBEsol structure, meta-GGA SCAN.

ΔE to the lowest computed polymorph   596 kJ/mol of formula units
Density of states at the Fermi level   4.0 states/eV per cell
Space group   No. 221
Density   3.53 Mg/m³

Cell: 5.3456 5.3456 5.3456 Å, 90.00 90.00 90.00°
Each line ends with the local moment (μB).
Atoms (fractional coordinates):
Te: 0.0000 0.0000 0.0000  0.00
Zr: 0.5000 0.5000 0.5000  1.73
Cl: 0.0000 0.5000 0.0000  0.01
Cl: 0.0000 0.0000 0.5000  0.01
Cl: 0.5000 0.0000 0.0000  0.01

No. 3
ZrTe4Cl: single point on PBEsol structure, meta-GGA SCAN.

Density of states at the Fermi level   5.8 states/eV per cell
Space group   No. 216
Density   6.52 Mg/m³

Cell: 6.1229 6.1229 6.1229 Å, 60.00 60.00 60.00°
Each line ends with the local moment (μB).
Atoms (fractional coordinates):
Te: 0.8741 0.3753 0.3753  -0.07
Te: 0.3753 0.3753 0.3753  -0.07
Te: 0.3753 0.3753 0.8741  -0.07
Te: 0.3753 0.8741 0.3753  -0.07
Zr: 0.7500 0.7500 0.7500  1.01
Cl: 0.0000 0.0000 0.0000  -0.01

No. 4
ThCl4: single point on PBEsol structure, meta-GGA SCAN.

Density of states at the Fermi level   0.0 states/eV per cell
Space group   No. 88
Density   4.71 Mg/m³

Cell: 6.4345 6.4345 7.8305 Å, 114.26 114.26 90.00°
Atoms (fractional coordinates):
Th: 0.2500 0.7500 0.5000
Th: 0.0000 0.0000 0.0000
Cl: 0.5879 0.7066 0.8479
Cl: 0.8587 0.4121 0.1521
Cl: 0.9566 0.0100 0.3479
Cl: 0.3913 0.3379 0.3479
Cl: 0.2934 0.7400 0.1521
Cl: 0.6621 0.0434 0.6521
Cl: 0.9900 0.6087 0.6521
Cl: 0.2600 0.1413 0.8479

Going through the records in order, we get total DFT energy (no corrections) values of -16.501; -18.088; -31.068; -27.949 eV per atom.
Going through the records in order, we get M_tot values of 1.80; 2.83; 1.05; 0.00 μB/cell.